# 1
Compound: LiHfAlAg
Source: Alexandria via LeMat-Bulk
Functional: PBE
Structure: relaxed

Results
Fermi-level density of states, states/eV per atom: 0.62
Raw total energy, eV per cell: -18.80

abc: 4.6551 4.6551 4.6551
angles: 60.00 60.00 60.00
Fractional coordinates of all 4 atoms:
1 Li 0.0000 0.0000 0.0000
2 Hf 0.5000 0.5000 0.5000
3 Al 0.2500 0.2500 0.2500
4 Ag 0.7500 0.7500 0.7500

---

# 2
Compound: LiHfAl2Ag
Source: Alexandria via LeMat-Bulk
Functional: PBE
Structure: relaxed

Results
Fermi-level density of states, states/eV per atom: 0.93
Raw total energy, eV per cell: -18.88

abc: 4.7783 4.7783 5.2537
angles: 90.00 90.00 90.00
Fractional coordinates of all 5 atoms:
1 Li 0.0000 0.0000 0.0000
2 Hf 0.5000 0.5000 0.0000
3 Al 0.0000 0.5000 0.5000
4 Al 0.5000 0.0000 0.5000
5 Ag 0.5000 0.5000 0.5000

---

# 3
Compound: HfAlNiAg
Source: Alexandria via LeMat-Bulk
Functional: PBE
Structure: relaxed

Results
Fermi-level density of states, states/eV per atom: 0.47
Raw total energy, eV per cell: -23.56

abc: 4.4996 4.4996 4.4996
angles: 60.00 60.00 60.00
Fractional coordinates of all 4 atoms:
1 Hf 0.0000 0.0000 0.0000
2 Al 0.5000 0.5000 0.5000
3 Ni 0.2500 0.2500 0.2500
4 Ag 0.7500 0.7500 0.7500

---

# 4
Compound: HfAlAgOs
Source: Alexandria via LeMat-Bulk
Functional: PBE
Structure: relaxed

Results
Fermi-level density of states, states/eV per atom: 0.72
Raw total energy, eV per cell: -28.79

abc: 4.5547 4.5547 4.5547
angles: 60.00 60.00 60.00
Fractional coordinates of all 4 atoms:
1 Hf 0.0000 0.0000 0.0000
2 Al 0.5000 0.5000 0.5000
3 Ag 0.7500 0.7500 0.7500
4 Os 0.2500 0.2500 0.2500

---

# 5
Compound: SmHfAlAg
Source: Alexandria via LeMat-Bulk
Functional: PBE
Structure: relaxed

Results
Fermi-level density of states, states/eV per atom: 1.00
Raw total energy, eV per cell: -21.69

abc: 5.0214 5.0214 5.0214
angles: 60.00 60.00 60.00
Fractional coordinates of all 4 atoms:
1 Sm 0.0000 0.0000 0.0000
2 Hf 0.5000 0.5000 0.5000
3 Al 0.7500 0.7500 0.7500
4 Ag 0.2500 0.2500 0.2500

---

# 6
Compound: HfAlTc2Ag
Source: Alexandria via LeMat-Bulk
Functional: PBE
Structure: relaxed

Results
Fermi-level density of states, states/eV per atom: 1.24
Raw total energy, eV per cell: -28.32

abc: 4.8391 4.8391 4.8617
angles: 90.00 90.00 90.00
Fractional coordinates of all 5 atoms:
1 Hf 0.0000 0.0000 0.0000
2 Al 0.5000 0.5000 0.0000
3 Tc 0.0000 0.5000 0.5000
4 Tc 0.5000 0.0000 0.5000
5 Ag 0.0000 0.0000 0.5000

---

# 7
Compound: HfThAlAg
Source: Alexandria via LeMat-Bulk
Functional: PBE
Structure: relaxed

Results
Fermi-level density of states, states/eV per atom: 0.57
Raw total energy, eV per cell: -24.12

abc: 5.0632 5.0632 5.0632
angles: 60.00 60.00 60.00
Fractional coordinates of all 4 atoms:
1 Hf 0.0000 0.0000 0.0000
2 Th 0.5000 0.5000 0.5000
3 Al 0.7500 0.7500 0.7500
4 Ag 0.2500 0.2500 0.2500

---

# 8
Compound: HfAlVAg2
Source: Alexandria via LeMat-Bulk
Functional: PBE
Structure: relaxed

Results
Fermi-level density of states, states/eV per atom: 1.72
Raw total energy, eV per cell: -20.09

abc: 5.0542 5.0542 5.1556
angles: 90.00 90.00 90.00
Fractional coordinates of all 5 atoms:
1 Hf 0.0000 0.0000 0.0000
2 Al 0.0000 0.0000 0.5000
3 V 0.5000 0.5000 0.5000
4 Ag 0.0000 0.5000 0.0000
5 Ag 0.5000 0.0000 0.0000

---

# 9
Compound: HfAlAgW2
Source: Alexandria via LeMat-Bulk
Functional: PBE
Structure: relaxed

Results
Fermi-level density of states, states/eV per atom: 0.97
Raw total energy, eV per cell: -31.94

abc: 4.8278 4.8278 4.8942
angles: 90.00 90.00 90.00
Fractional coordinates of all 5 atoms:
1 Hf 0.0000 0.0000 0.0000
2 Al 0.5000 0.5000 0.0000
3 Ag 0.0000 0.0000 0.5000
4 W 0.0000 0.5000 0.5000
5 W 0.5000 0.0000 0.5000

---

# 10
Compound: HfZrAlAg
Source: Alexandria via LeMat-Bulk
Functional: PBE
Structure: relaxed

Results
Fermi-level density of states, states/eV per atom: 0.39
Raw total energy, eV per cell: -25.70

abc: 4.8168 4.8168 4.8168
angles: 60.00 60.00 60.00
Fractional coordinates of all 4 atoms:
1 Hf 0.0000 0.0000 0.0000
2 Zr 0.5000 0.5000 0.5000
3 Al 0.7500 0.7500 0.7500
4 Ag 0.2500 0.2500 0.2500

---

# 11
Compound: AlAg2Hg
Source: Alexandria via LeMat-Bulk
Functional: PBE
Structure: relaxed

Results
Polymorph energy (0 for the lowest one), eV/f.u.: 0.083
Fermi-level density of states, states/eV per atom: 0.59
Raw total energy, eV per cell: -9.57

abc: 9.3709 9.3709 9.3709
angles: 18.87 18.87 18.87
Fractional coordinates of all 4 atoms:
1 Al 0.0000 0.0000 0.0000
2 Ag 0.2570 0.2570 0.2570
3 Ag 0.7430 0.7430 0.7430
4 Hg 0.5000 0.5000 0.5000

---

# 12
Compound: AlAgHg2
Source: Alexandria via LeMat-Bulk
Functional: PBE
Structure: relaxed

Results
Fermi-level density of states, states/eV per atom: 0.28
Raw total energy, eV per cell: -6.64

abc: 4.9548 4.9548 3.5561
angles: 90.07 90.07 108.42
Fractional coordinates of all 4 atoms:
1 Al 0.0000 0.0000 0.0000
2 Ag 0.5000 0.5000 0.0000
3 Hg 0.0000 0.5000 0.5000
4 Hg 0.5000 0.0000 0.5000

---

# 13
Compound: AlAg2Hg
Source: Alexandria via LeMat-Bulk
Functional: PBE
Structure: relaxed

Results
Polymorph energy (0 for the lowest one), eV/f.u.: 0.215
Fermi-level density of states, states/eV per atom: 0.24
Raw total energy, eV per cell: -9.44

abc: 5.5845 5.5845 5.5845
angles: 145.84 129.72 62.20
Fractional coordinates of all 4 atoms:
1 Al 0.0000 0.0000 0.0000
2 Ag 0.5118 0.5118 0.0000
3 Ag 0.7723 0.2723 0.5000
4 Hg 0.2440 0.7440 0.5000